1.
Here is a relaxed structure of Rb2CrRePt from Alexandria via LeMat-Bulk. Energies are from GGA-PBE. Values from VASP.

Results
mass density	3.64	g cm⁻³
calculated formation energy	1.740	eV per atom

The structure in Quantum ESPRESSO input format:
```
&SYSTEM
  ibrav = 0, nat = 5, ntyp = 4
/
ATOMIC_SPECIES
Re 186.21 Re.upf
Rb 85.47 Rb.upf
Pt 195.08 Pt.upf
Cr 52.00 Cr.upf
CELL_PARAMETERS angstrom
6.9685 0.0000 0.0000
0.0000 5.6804 0.0000
0.0000 0.0000 6.9685
ATOMIC_POSITIONS crystal
Re 0.0000 0.5000 0.0000
Rb 0.0000 0.0000 0.5000
Rb 0.5000 0.0000 0.0000
Pt 0.0000 0.0000 0.0000
Cr 0.5000 0.5000 0.5000
```

=====

2.
Here is a relaxed structure of CoCuHg2 from Alexandria via LeMat-Bulk. Energies are from GGA-PBE. Values from VASP.

Results
mass density	12.98	g cm⁻³
calculated formation energy	0.366	eV per atom
polymorph energy (0 for the lowest one)	22	meV/atom

The structure in Quantum ESPRESSO input format:
```
&SYSTEM
  ibrav = 0, nat = 4, ntyp = 3
/
ATOMIC_SPECIES
Co 58.93 Co.upf
Cu 63.55 Cu.upf
Hg 200.59 Hg.upf
CELL_PARAMETERS angstrom
5.2626 -0.0182 0.0692
4.4448 2.8176 0.0692
1.3438 0.3875 4.5117
ATOMIC_POSITIONS crystal
Co 0.5221 0.5221 0.5354
Cu 0.2215 0.2215 0.2258
Hg 0.9850 0.9850 0.0539
Hg 0.7713 0.7713 0.6849
```

=====

3.
Here is a relaxed structure of Pm2DyGa3Ir4 from Alexandria via LeMat-Bulk. Energies are from GGA-PBE. Values from VASP.

Results
mass density	11.82	g cm⁻³
calculated formation energy	-0.706	eV per atom

The structure in Quantum ESPRESSO input format:
```
&SYSTEM
  ibrav = 0, nat = 10, ntyp = 4
/
ATOMIC_SPECIES
Pm 145.00 Pm.upf
Dy 162.50 Dy.upf
Ga 69.72 Ga.upf
Ir 192.22 Ir.upf
CELL_PARAMETERS angstrom
-2.6587 -1.1721 -3.1011
-2.3355 -2.1591 2.8183
-6.1619 9.0811 1.8507
ATOMIC_POSITIONS crystal
Pm 0.5000 0.0000 0.2215
Pm 0.0000 0.5000 0.7785
Dy 0.5000 0.5000 0.5000
Ga 0.0000 0.0000 0.5000
Ga 0.5000 0.0000 0.8816
Ga 0.0000 0.5000 0.1184
Ir 0.5000 0.5000 0.0000
Ir 0.0000 0.0000 0.0000
Ir 0.5000 0.0000 0.6564
Ir 0.0000 0.5000 0.3436
```

=====

4.
Here is a relaxed structure of NdHo2Ag from Alexandria via LeMat-Bulk. Energies are from GGA-PBE. Values from VASP.

Results
mass density	8.28	g cm⁻³
calculated formation energy	-0.015	eV per atom
polymorph energy (0 for the lowest one)	122	meV/atom

The structure in Quantum ESPRESSO input format:
```
&SYSTEM
  ibrav = 0, nat = 4, ntyp = 3
/
ATOMIC_SPECIES
Nd 144.24 Nd.upf
Ho 164.93 Ho.upf
Ag 107.87 Ag.upf
CELL_PARAMETERS angstrom
3.5832 0.0000 0.0000
1.7916 3.1032 0.0000
1.7916 1.0344 10.5024
ATOMIC_POSITIONS crystal
Nd 0.5000 0.5000 0.5000
Ho 0.2601 0.2601 0.2197
Ho 0.7399 0.7399 0.7803
Ag 0.0000 0.0000 0.0000
```

=====

5.
Here is a relaxed structure of Sm2Ho3Mg3 from Alexandria via LeMat-Bulk. Energies are from GGA-PBE. Values from VASP.

Results
mass density	6.26	g cm⁻³
calculated formation energy	-0.048	eV per atom

The structure in Quantum ESPRESSO input format:
```
&SYSTEM
  ibrav = 0, nat = 8, ntyp = 3
/
ATOMIC_SPECIES
Sm 150.36 Sm.upf
Ho 164.93 Ho.upf
Mg 24.30 Mg.upf
CELL_PARAMETERS angstrom
-0.9864 -3.5998 -0.6784
5.2291 -1.4013 -0.1673
-2.3115 0.4754 11.4459
ATOMIC_POSITIONS crystal
Sm 0.7342 0.2342 0.4683
Sm 0.2658 0.7658 0.5317
Ho 0.6230 0.6230 0.2459
Ho 0.3770 0.3770 0.7541
Ho 0.5000 0.0000 0.0000
Mg 0.1147 0.1147 0.2294
Mg 0.0000 0.5000 0.0000
Mg 0.8853 0.8853 0.7706
```

=====

6.
Here is a relaxed structure of Rb2GaGe2 from Alexandria via LeMat-Bulk. Energies are from GGA-PBE. Values from VASP.

Results
mass density	3.64	g cm⁻³
calculated formation energy	-0.023	eV per atom
polymorph energy (0 for the lowest one)	0	meV/atom

The structure in Quantum ESPRESSO input format:
```
&SYSTEM
  ibrav = 0, nat = 10, ntyp = 3
/
ATOMIC_SPECIES
Rb 85.47 Rb.upf
Ga 69.72 Ga.upf
Ge 72.64 Ge.upf
CELL_PARAMETERS angstrom
4.1419 0.0000 0.0000
-2.0709 6.7431 0.0000
0.0000 0.0000 12.5953
ATOMIC_POSITIONS crystal
Rb 0.8893 0.7785 0.1591
Rb 0.3569 0.7138 0.8347
Rb 0.1107 0.2215 0.6591
Rb 0.6431 0.2862 0.3347
Ga 0.6691 0.3382 0.9615
Ga 0.3309 0.6618 0.4615
Ge 0.1664 0.3328 0.0943
Ge 0.0506 0.1012 0.9358
Ge 0.8336 0.6672 0.5943
Ge 0.9494 0.8988 0.4358
```

=====

7.
Here is a relaxed structure of YMg4Co from Alexandria via LeMat-Bulk. Energies are from GGA-PBE. Values from VASP.

Results
mass density	3.19	g cm⁻³
calculated formation energy	0.255	eV per atom
polymorph energy (0 for the lowest one)	213	meV/atom

The structure in Quantum ESPRESSO input format:
```
&SYSTEM
  ibrav = 0, nat = 6, ntyp = 3
/
ATOMIC_SPECIES
Y 88.91 Y.upf
Mg 24.30 Mg.upf
Co 58.93 Co.upf
CELL_PARAMETERS angstrom
0.0000 3.9943 3.9943
3.9943 0.0000 3.9943
3.9943 3.9943 0.0000
ATOMIC_POSITIONS crystal
Y 0.7500 0.7500 0.7500
Mg 0.3740 0.8778 0.3740
Mg 0.8778 0.3740 0.3740
Mg 0.3740 0.3740 0.8778
Mg 0.3740 0.3740 0.3740
Co 0.0000 0.0000 0.0000
```

=====

8.
Here is a relaxed structure of Sm4YEr3S8 from Alexandria via LeMat-Bulk. Energies are from GGA-PBE. Values from VASP.

Results
raw formation energy	-1.995	eV per atom
mass density	6.93	g cm⁻³

The structure in Quantum ESPRESSO input format:
```
&SYSTEM
  ibrav = 0, nat = 16, ntyp = 4
/
ATOMIC_SPECIES
Sm 150.36 Sm.upf
Y 88.91 Y.upf
Er 167.26 Er.upf
S 32.06 S.upf
CELL_PARAMETERS angstrom
-6.9487 -1.5484 3.2935
3.6276 -4.1876 5.6848
2.1502 7.4280 -1.3123
ATOMIC_POSITIONS crystal
Sm 0.5000 0.0000 0.0000
Sm 0.5000 0.0000 0.5000
Sm 0.0000 0.0000 0.0000
Sm 0.0000 0.0000 0.5000
Y 0.0000 0.5000 0.0000
Er 0.5000 0.5000 0.0000
Er 0.5000 0.5000 0.5000
Er 0.0000 0.5000 0.5000
S 0.2468 0.7367 0.9899
S 0.2468 0.7367 0.4937
S 0.2550 0.2650 0.5100
S 0.7430 0.7367 0.9899
S 0.2570 0.2633 0.0101
S 0.7450 0.7350 0.4900
S 0.7532 0.2633 0.5063
S 0.7532 0.2633 0.0101
```

=====

9.
Here is a relaxed structure of Ba2ZrAu from Alexandria via LeMat-Bulk. Energies are from GGA-PBE. Values from VASP.

Results
mass density	7.58	g cm⁻³
calculated formation energy	0.365	eV per atom
polymorph energy (0 for the lowest one)	420	meV/atom

The structure in Quantum ESPRESSO input format:
```
&SYSTEM
  ibrav = 0, nat = 4, ntyp = 3
/
ATOMIC_SPECIES
Au 196.97 Au.upf
Ba 137.33 Ba.upf
Zr 91.22 Zr.upf
CELL_PARAMETERS angstrom
-2.1877 4.7678 -1.9244
-0.9521 0.6296 -5.4698
-5.2425 0.0892 -1.9311
ATOMIC_POSITIONS crystal
Au 0.5000 0.5000 0.5000
Ba 0.0000 0.0000 0.0000
Ba 0.2500 0.2500 0.2500
Zr 0.7500 0.7500 0.7500
```

=====

10.
Here is a relaxed structure of ThScGeAu from Alexandria via LeMat-Bulk. Energies are from GGA-PBE. Values from VASP.

Results
mass density	9.88	g cm⁻³
calculated formation energy	-0.586	eV per atom

The structure in Quantum ESPRESSO input format:
```
&SYSTEM
  ibrav = 0, nat = 4, ntyp = 4
/
ATOMIC_SPECIES
Sc 44.96 Sc.upf
Ge 72.64 Ge.upf
Au 196.97 Au.upf
Th 232.04 Th.upf
CELL_PARAMETERS angstrom
5.0641 0.0000 0.0000
2.5321 4.3857 0.0000
2.5321 1.4619 4.1348
ATOMIC_POSITIONS crystal
Sc 0.5000 0.5000 0.5000
Ge 0.2500 0.2500 0.2500
Au 0.7500 0.7500 0.7500
Th 0.0000 0.0000 0.0000
```

=====

11.
Here is a relaxed structure of Zn2IrRu from Alexandria via LeMat-Bulk. Energies are from GGA-PBE. Values from VASP.

Results
mass density	12.43	g cm⁻³
calculated formation energy	-0.053	eV per atom
polymorph energy (0 for the lowest one)	11	meV/atom

The structure in Quantum ESPRESSO input format:
```
&SYSTEM
  ibrav = 0, nat = 4, ntyp = 3
/
ATOMIC_SPECIES
Ir 192.22 Ir.upf
Ru 101.07 Ru.upf
Zn 65.41 Zn.upf
CELL_PARAMETERS angstrom
4.5184 0.0049 -0.0043
3.6740 2.6302 -0.0043
0.8298 0.2669 4.7745
ATOMIC_POSITIONS crystal
Ir 0.2500 0.2500 0.2500
Ru 0.7500 0.7500 0.7500
Zn 0.9995 0.9995 0.9991
Zn 0.5005 0.5005 0.5009
```

=====

12.
Here is a relaxed structure of LaTbPt3 from Alexandria via LeMat-Bulk. Energies are from GGA-PBE. Values from VASP.

Results
mass density	12.76	g cm⁻³
calculated formation energy	-1.138	eV per atom

The structure in Quantum ESPRESSO input format:
```
&SYSTEM
  ibrav = 0, nat = 10, ntyp = 3
/
ATOMIC_SPECIES
La 138.91 La.upf
Tb 158.93 Tb.upf
Pt 195.08 Pt.upf
CELL_PARAMETERS angstrom
4.2774 0.0000 0.0000
0.0000 3.9327 0.0000
0.0000 -1.9664 13.6630
ATOMIC_POSITIONS crystal
La 0.2500 0.0742 0.1485
La 0.7500 0.9258 0.8515
Tb 0.2500 0.7930 0.5859
Tb 0.7500 0.2070 0.4141
Pt 0.2500 0.3747 0.7493
Pt 0.7500 0.6253 0.2507
Pt 0.2500 0.4709 0.9419
Pt 0.7500 0.5291 0.0581
Pt 0.7500 0.3123 0.6246
Pt 0.2500 0.6877 0.3754
```